The following is a PBE calculation of an optimized crystal structure of YZn2Pd2, from Alexandria via LeMat-Bulk.

a b c (Å): 4.6236 4.8527 8.2400
angles (deg): 100.57 90.00 90.00
With the nearest neighbours (Å) after each atom.
Element x y z (fractional)
1 Y 0.2500 0.2134 0.2680  7 Pd 2.96-3.14, 5 Zn 3.07-3.31
2 Y 0.7500 0.7866 0.7320  7 Pd 2.96-3.14, 5 Zn 3.07-3.31
3 Zn 0.2500 0.6415 0.9981  4 Pd 2.53-2.67, 2 Zn 2.69
4 Zn 0.7500 0.3585 0.0019  4 Pd 2.53-2.67, 2 Zn 2.69
5 Zn 0.2500 0.3357 0.6471  5 Pd 2.55-2.70
6 Zn 0.7500 0.6643 0.3529  5 Pd 2.55-2.70
7 Pd 0.2500 0.7970 0.5071  4 Zn 2.66-2.70, 2 Y 2.97
8 Pd 0.7500 0.2030 0.4929  4 Zn 2.66-2.70, 2 Y 2.97
9 Pd 0.2500 0.1090 0.9026  5 Zn 2.53-2.67
10 Pd 0.7500 0.8910 0.0974  5 Zn 2.53-2.67

Results
Polymorph energy (0 for the lowest one), meV/atom: 0
Total moment, μB per atom: 0.0000

The following is a PBE calculation of an optimized crystal structure of Tm4Mg3Ag4, from Alexandria via LeMat-Bulk.

a b c (Å): 3.3287 9.1166 9.8507
angles (deg): 117.56 99.73 90.00
With the nearest neighbours (Å) after each atom.
Element x y z (fractional)
1 Tm 0.3376 0.1510 0.6751  4 Ag 2.97-3.07
2 Tm 0.6624 0.4758 0.3249  4 Ag 2.97-3.07
3 Tm 0.6624 0.8490 0.3249  4 Ag 2.97-3.07
4 Tm 0.3376 0.5242 0.6751  4 Ag 2.97-3.07
5 Mg 0.0929 0.0929 0.1858  6 Ag 2.86-2.94, 1 Mg 3.19
6 Mg 0.9071 0.9071 0.8142  6 Ag 2.86-2.94, 1 Mg 3.19
7 Mg 0.0000 0.5000 0.0000  4 Ag 3.20, 2 Mg 3.33
8 Ag 0.2717 0.7717 0.5434  2 Mg 2.86, 6 Tm 3.03-3.07
9 Ag 0.7283 0.2283 0.4566  2 Mg 2.86, 6 Tm 3.03-3.07
10 Ag 0.5000 0.7997 0.0000  6 Mg 2.94-3.20, 2 Tm 2.97
11 Ag 0.5000 0.2003 0.0000  6 Mg 2.94-3.20, 2 Tm 2.97

Results
Calculated total energy, eV/atom: -3.204
Total moment, μB per atom: 0.0000

The following is a PBE calculation of an optimized crystal structure of KS, from Alexandria via LeMat-Bulk.

a b c (Å): 5.9386 5.3606 5.3734
angles (deg): 67.17 56.45 56.36
With the nearest neighbours (Å) after each atom.
Element x y z (fractional)
1 K 0.0000 0.0000 0.0000  4 S 3.16, 2 K 3.34
2 K 0.5000 0.5000 0.5000  4 S 3.16, 2 K 3.34
3 S 0.1611 0.3385 0.3393  1 S 2.15
4 S 0.8389 0.6615 0.6607  1 S 2.15

Results
Formation energy without anion corrections, kJ/mol of atoms: -82.47
Total moment, μB per atom: 0.0000

The following is a PBE calculation of an optimized crystal structure of LaPbOF2, from Alexandria via LeMat-Bulk.

a b c (Å): 4.6716 4.6716 4.7122
angles (deg): 90.00 90.00 90.00
With the nearest neighbours (Å) after each atom.
Element x y z (fractional)
1 Pb 0.0000 0.0000 0.0000  4 F 2.34, 2 O 2.36
2 F 0.0000 0.5000 0.0000  2 Pb 2.34
3 F 0.5000 0.0000 0.0000  2 Pb 2.34
4 O 0.0000 0.0000 0.5000  2 Pb 2.36
5 La 0.5000 0.5000 0.5000  4 O 3.30, 8 F 3.32

Results
Polymorph energy (0 for the lowest one), meV/atom: 780
Formation energy without anion corrections, kJ/mol of atoms: -170.06
Total moment, μB per atom: 0.1916

The following is a PBE calculation of an optimized crystal structure of Tm2HgRh, from Alexandria via LeMat-Bulk.

a b c (Å): 3.4522 3.4522 7.4121
angles (deg): 90.00 90.00 90.00
With the nearest neighbours (Å) after each atom.
Element x y z (fractional)
1 Tm 0.0000 0.0000 0.7796  4 Rh 2.94, 4 Hg 3.20, 1 Tm 3.27
2 Tm 0.0000 0.0000 0.2204  4 Rh 2.94, 4 Hg 3.20, 1 Tm 3.27
3 Rh 0.5000 0.5000 0.0000  8 Tm 2.94
4 Hg 0.5000 0.5000 0.5000  8 Tm 3.20, 4 Hg 3.45

Results
Polymorph energy (0 for the lowest one), meV/atom: 0
Total moment, μB per atom: 0.0000

The following is a PBE calculation of an optimized crystal structure of BeAg2As, from Alexandria via LeMat-Bulk.

a b c (Å): 4.8299 5.4198 2.9684
angles (deg): 74.48 89.19 116.21
With the nearest neighbours (Å) after each atom.
Element x y z (fractional)
1 Be 0.5000 0.5000 0.0000  4 Ag 2.72, 4 As 2.82-2.85, 2 Be 2.97
2 As 0.0000 0.5000 0.5000  4 Ag 2.72, 4 Be 2.82-2.85, 2 As 2.97
3 Ag 0.0000 0.0000 0.0000  2 As 2.72, 2 Be 2.72, 6 Ag 2.82-2.97
4 Ag 0.5000 0.0000 0.5000  2 Be 2.72, 2 As 2.72, 6 Ag 2.82-2.97

Results
Polymorph energy (0 for the lowest one), meV/atom: 169
Total moment, μB per atom: 0.0000

Among the records above, which one has the highest total moment?
LaPbOF2